# SnSeIBr2 PBE relaxed
# Raw formation energy, eV per atom: 0.0163
# Total energy, eV/atom: -2.460
# Energy above the lowest structure with this stoichiometry, meV/atom: 0.0
data_SnSeIBr2
_chemical_formula_sum 'Sn1 Se1 I1 Br2'
_space_group_name_H-M_alt 'P 4/m m m'
_space_group_IT_number 123
_space_group_name_Hall '-P 4 2'
_cell_length_a 5.3549
_cell_length_b 5.3549
_cell_length_c 5.8623
_cell_angle_alpha 90.00
_cell_angle_beta 90.00
_cell_angle_gamma 90.00
loop_
_atom_site_label
_atom_site_type_symbol
_atom_site_fract_x
_atom_site_fract_y
_atom_site_fract_z
_atom_site_occupancy
Sn1 Sn 0.0000 0.0000 0.0000 1
Se1 Se 0.0000 0.0000 0.5000 1
I1 I 0.5000 0.5000 0.5000 1
Br1 Br 0.0000 0.5000 0.0000 1